{"formula": "ScBeSb2", "functional": "PBE-GGA", "state": "relaxed", "raw_formation_energy_ev_per_atom": -0.048, "crystal_system": "orthorhombic", "dft_energy_ev_per_fu": -18.50, "lattice_angstrom": [[3.286, -3.294, 0.000], [3.286, 3.294, 0.000], [0.000, 0.000, 3.850]], "species": ["Sc", "Be", "Sb", "Sb"], "fractional_positions": [[0.000, 0.000, 0.000], [0.500, 0.500, 0.000], [0.000, 0.500, 0.500], [0.500, 0.000, 0.500]]}